## Ac3Tb2Hg2 (PBE-GGA)

Data for a relaxed structure of Ac3Tb2Hg2.

abc: 5.1846 3.7645 12.5140
angles: 90.00 78.04 90.00
Atoms (fractional coordinates):
1 Hg 0.4246 0.5000 0.1508
2 Hg 0.5754 0.5000 0.8492
3 Ac 0.0000 0.0000 0.0000
4 Ac 0.1478 0.0000 0.7045
5 Ac 0.8522 0.0000 0.2955
6 Tb 0.2867 0.5000 0.4267
7 Tb 0.7133 0.5000 0.5733

Summary:
The value obtained for the density of states at the Fermi level is 1.1827 states/eV/atom. Its energy relative to the elements is -0.090 eV/atom. As for the total magnetic moment: 0.0 μB per formula unit.